The following is a PBE calculation of a relaxed GaOsN2F crystal, from Alexandria.

abc: 3.9530 3.9530 3.6681
angles: 90.00 90.00 90.00
Closest atoms and distances in Å follow each position.
Positions (direct):
N: 0.0000 0.5000 0.0000  2 Ga 1.98
Os: 0.5000 0.5000 0.5000  8 N 2.70, 4 F 2.80
F: 0.0000 0.0000 0.5000  2 Ga 1.83
Ga: 0.0000 0.0000 0.0000  2 F 1.83, 4 N 1.98
N: 0.5000 0.0000 0.0000  2 Ga 1.98

Results
Space group   P4/mmm
Energy above the lowest structure with this stoichiometry   0.950 eV per atom
Volume   11.464 A^3/atom
Calculated total energy   -5.42 eV per atom
Formation energy from raw total energies   1131.8 meV/atom